(1)
A plane-wave DFT calculation with GGA-PBE was carried out for FeAgSbMo after structural relaxation.

Summary:
The energy above the most stable polymorph in this dataset is 0.0 kJ per mole of atoms. Its space group is F-43m, No. 216.

```
FeAgSbMo
1.0
-2.1498 1.4494 3.7175
-2.5249 3.7604 -0.1633
-4.5154 -0.2890 0.2644
Ag Fe Mo Sb
1 1 1 1
Direct
0.5000 0.5000 0.5000 Ag
0.7500 0.7500 0.7500 Fe
0.2500 0.2500 0.2500 Mo
0.0000 0.0000 0.0000 Sb
```

(2)
A plane-wave DFT calculation with GGA-PBE was carried out for Li2ScPdPb2 after structural relaxation.

Summary:
Its space group is P-6m2, No. 187.

```
Li2ScPdPb2
1.0
4.9353 0.0000 0.0000
-2.4677 4.2741 0.0000
0.0000 0.0000 5.9751
Li Pb Pd Sc
2 2 1 1
Direct
0.0000 0.0000 0.2373 Li
0.0000 0.0000 0.7627 Li
0.3333 0.6667 0.0000 Pb
0.6667 0.3333 0.5000 Pb
0.6667 0.3333 0.0000 Pd
0.3333 0.6667 0.5000 Sc
```

(3)
A plane-wave DFT calculation with GGA-PBE was carried out for LiGaPt after structural relaxation.

Summary:
Its space group is Pnma, No. 62.

```
LiGaPt
1.0
-0.8776 -0.2601 -5.1531
1.1719 -4.1305 0.0089
-7.3368 -2.0787 1.3544
Ga Li Pt
4 4 4
Direct
0.1929 0.7500 0.0903 Ga
0.6929 0.7500 0.4097 Ga
0.3071 0.2500 0.5903 Ga
0.8071 0.2500 0.9097 Ga
0.9665 0.2500 0.2453 Li
0.4665 0.2500 0.2547 Li
0.5335 0.7500 0.7453 Li
0.0335 0.7500 0.7547 Li
0.6949 0.7500 0.0748 Pt
0.1949 0.7500 0.4252 Pt
0.8051 0.2500 0.5748 Pt
0.3051 0.2500 0.9252 Pt
```

no.,density (g/cm3),total energy (eV per atom)
1,9.620,-6.04
2,7.637,-4.10
3,10.371,-4.37